TmThH: relaxed, PBE-GGA.

Output
crystal system = monoclinic
total energy = -5.250 eV per atom
V = 254.9 Å³/cell

Cell lengths 5.267, 7.042, 8.650 Å; angles 127.38, 90.00, 90.00 degrees
Positions (direct):
H (0.250, 0.236, 0.589)
H (0.250, 0.736, 0.089)
H (0.750, 0.764, 0.411)
H (0.750, 0.264, 0.911)
Tm (0.250, 0.652, 0.784)
Tm (0.250, 0.152, 0.284)
Tm (0.750, 0.348, 0.216)
Tm (0.750, 0.848, 0.716)
Th (0.750, 0.236, 0.589)
Th (0.750, 0.736, 0.089)
Th (0.250, 0.764, 0.411)
Th (0.250, 0.264, 0.911)



Tm3ThH8: relaxed, PBE-GGA.

Output
crystal system = cubic
total energy = -4.621 eV per atom
V = 138.6 Å³/cell

Cell lengths 5.175, 5.175, 5.175 Å; angles 90.00, 90.00, 90.00 degrees
Positions (direct):
Tm (0.500, 0.500, 0.000)
Tm (0.500, 0.000, 0.500)
Tm (0.000, 0.500, 0.500)
Th (0.000, 0.000, 0.000)
H (0.260, 0.260, 0.740)
H (0.260, 0.740, 0.260)
H (0.740, 0.260, 0.260)
H (0.740, 0.740, 0.740)
H (0.740, 0.740, 0.260)
H (0.740, 0.260, 0.740)
H (0.260, 0.740, 0.740)
H (0.260, 0.260, 0.260)



TmTh2H: relaxed, PBE-GGA.

Output
crystal system = trigonal
total energy = -5.567 eV per atom
V = 99.1 Å³/cell

Cell lengths 3.426, 3.426, 9.943 Å; angles 80.08, 80.08, 60.00 degrees
Positions (direct):
H (0.500, 0.500, 0.500)
Tm (0.000, 0.000, 0.000)
Th (0.112, 0.112, 0.664)
Th (0.888, 0.888, 0.336)



TmThH: relaxed, PBE-GGA.

Output
crystal system = tetragonal
total energy = -5.114 eV per atom
V = 71.2 Å³/cell

Cell lengths 3.458, 3.458, 6.438 Å; angles 105.58, 105.58, 90.00 degrees
Positions (direct):
H (0.222, 0.222, 0.443)
Tm (0.035, 0.035, 0.071)
Th (0.743, 0.743, 0.486)